First-principles (PBE) data for a relaxed structure of TiFe2I, as listed in Alexandria via LeMat-Bulk.

Cell and atoms, written as POSCAR:
```
TiFe2I
1.0
2.394 -3.097 -1.958
-1.900 -3.701 -1.360
-0.489 -0.764 -4.282
I Ti Fe
1 1 2
Direct
0.500 0.500 0.500
0.000 0.000 0.000
0.750 0.750 0.750
0.250 0.250 0.250
```

Computed properties:
Its crystal system is cubic. Its excess energy over the best structure of this formula in the dataset is 0.0 kJ/mol of atoms. The calculation puts the density of states at the Fermi level at 3.77 states/eV/f.u. As for the uncorrected formation energy: 0.5563 eV/atom. Its spin magnetization is 2.3 μB/cell.

***

First-principles (PBE) data for a relaxed structure of TiFe3I, as listed in Alexandria via LeMat-Bulk.

Cell and atoms, written as POSCAR:
```
TiFe3I
1.0
4.533 0.000 0.000
0.000 4.533 0.000
0.000 0.000 4.533
Ti Fe I
1 3 1
Direct
0.000 0.000 0.000
0.000 0.500 0.000
0.500 0.000 0.000
0.000 0.000 0.500
0.500 0.500 0.500
```

Computed properties:
Its crystal system is cubic. Its excess energy over the best structure of this formula in the dataset is 0.0 kJ/mol of atoms. The calculation puts the density of states at the Fermi level at 5.08 states/eV/f.u. As for the uncorrected formation energy: 1.2496 eV/atom. Its spin magnetization is 5.4 μB/cell.

***

First-principles (PBE) data for a relaxed structure of Ti2FeI, as listed in Alexandria via LeMat-Bulk.

Cell and atoms, written as POSCAR:
```
Ti2FeI
1.0
-1.550 -4.917 -2.638
-0.722 -2.538 5.156
-6.597 -2.041 1.324
I Ti Fe
2 4 2
Direct
0.000 0.000 0.000
0.750 0.250 0.500
0.375 0.471 0.750
0.875 0.779 0.750
0.529 0.125 0.250
0.221 0.625 0.250
0.500 0.500 0.000
0.250 0.750 0.500
```

Computed properties:
Its crystal system is tetragonal. Its excess energy over the best structure of this formula in the dataset is 7.8 kJ/mol of atoms. The calculation puts the density of states at the Fermi level at 9.07 states/eV/f.u. As for the uncorrected formation energy: 0.5747 eV/atom. Its spin magnetization is 0.0 μB/cell.

***

First-principles (PBE) data for a relaxed structure of Ti2FeI, as listed in Alexandria via LeMat-Bulk.

Cell and atoms, written as POSCAR:
```
Ti2FeI
1.0
-4.139 -1.472 -1.172
-3.678 1.643 2.108
-2.850 2.760 -2.221
I Fe Ti
1 1 2
Direct
0.500 0.500 0.500
0.000 0.000 0.000
0.250 0.250 0.250
0.750 0.750 0.750
```

Computed properties:
Its crystal system is cubic. Its excess energy over the best structure of this formula in the dataset is 0.0 kJ/mol of atoms. The calculation puts the density of states at the Fermi level at 8.33 states/eV/f.u. As for the uncorrected formation energy: 0.4938 eV/atom. Its spin magnetization is 0.0 μB/cell.

***

First-principles (PBE) data for a relaxed structure of Tl3FeI6, as listed in Alexandria via LeMat-Bulk.

Cell and atoms, written as POSCAR:
```
Tl3FeI6
1.0
9.608 0.166 0.169
-0.043 9.609 0.169
-0.043 -0.044 9.611
I Fe Tl
12 2 6
Direct
0.926 0.096 0.267
0.904 0.733 0.074
0.217 0.549 0.445
0.555 0.783 0.451
0.096 0.267 0.926
0.783 0.451 0.555
0.549 0.445 0.217
0.074 0.904 0.733
0.733 0.074 0.904
0.451 0.555 0.783
0.267 0.926 0.096
0.445 0.217 0.549
0.500 0.500 0.500
0.000 0.000 0.000
0.767 0.432 0.910
0.233 0.568 0.090
0.090 0.233 0.568
0.432 0.910 0.767
0.910 0.767 0.432
0.568 0.090 0.233
```

Computed properties:
Its crystal system is trigonal. Its excess energy over the best structure of this formula in the dataset is 4.8 kJ/mol of atoms. The calculation puts the density of states at the Fermi level at 2.32 states/eV/f.u. As for the uncorrected formation energy: -0.4092 eV/atom. Its spin magnetization is 10.1 μB/cell.

***

First-principles (PBE) data for a relaxed structure of TlFe4I12, as listed in Alexandria via LeMat-Bulk.

Cell and atoms, written as POSCAR:
```
TlFe4I12
1.0
-0.679 -7.767 5.109
8.192 -0.089 -4.445
-0.382 7.634 5.334
I Fe Tl
12 4 1
Direct
0.689 0.879 0.190
0.311 0.121 0.810
0.689 0.499 0.810
0.925 0.238 0.687
0.814 0.764 0.578
0.814 0.236 0.049
0.448 0.762 0.687
0.311 0.501 0.190
0.186 0.764 0.951
0.186 0.236 0.422
0.075 0.762 0.313
0.552 0.238 0.313
0.000 0.000 0.500
0.000 0.500 0.000
0.500 0.000 0.000
0.500 0.500 0.500
0.000 0.500 0.500
```

Computed properties:
Its crystal system is orthorhombic. The calculation puts the density of states at the Fermi level at 17.99 states/eV/f.u. As for the uncorrected formation energy: -0.0390 eV/atom. Its spin magnetization is 17.5 μB/cell.

***

First-principles (PBE) data for a relaxed structure of Tl4Fe2I, as listed in Alexandria via LeMat-Bulk.

Cell and atoms, written as POSCAR:
```
Tl4Fe2I
1.0
6.119 0.000 0.000
0.000 6.119 0.000
3.060 3.060 6.976
Tl Fe I
4 2 1
Direct
0.500 0.000 0.000
0.229 0.229 0.543
0.771 0.771 0.457
0.000 0.500 0.000
0.575 0.575 0.850
0.425 0.425 0.150
0.000 0.000 0.000
```

Computed properties:
Its crystal system is tetragonal. The calculation puts the density of states at the Fermi level at 9.65 states/eV/f.u. As for the uncorrected formation energy: 0.7727 eV/atom. Its spin magnetization is 5.7 μB/cell.

***

First-principles (PBE) data for a relaxed structure of Tl2Fe3I9, as listed in Alexandria via LeMat-Bulk.

Cell and atoms, written as POSCAR:
```
Tl2Fe3I9
1.0
-5.892 -1.433 -8.470
0.340 -7.316 7.407
-11.688 6.564 7.020
Fe I Tl
6 18 4
Direct
0.006 0.753 0.750
0.753 0.747 0.250
0.994 0.247 0.250
0.253 0.006 0.250
0.747 0.994 0.750
0.247 0.253 0.750
0.383 0.390 0.607
0.006 0.751 0.250
0.255 0.006 0.750
0.751 0.745 0.750
0.249 0.255 0.250
0.745 0.994 0.250
0.617 0.610 0.393
0.383 0.390 0.893
0.610 0.993 0.893
0.994 0.249 0.750
0.617 0.610 0.107
0.390 0.007 0.107
0.390 0.007 0.393
0.007 0.617 0.893
0.993 0.383 0.107
0.007 0.617 0.607
0.610 0.993 0.607
0.993 0.383 0.393
0.333 0.667 0.004
0.667 0.333 0.996
0.333 0.667 0.496
0.667 0.333 0.504
```

Computed properties:
Its crystal system is hexagonal. The calculation puts the density of states at the Fermi level at 9.00 states/eV/f.u. As for the uncorrected formation energy: -0.2681 eV/atom. Its spin magnetization is 26.0 μB/cell.

***

First-principles (PBE) data for a relaxed structure of Tl4FeI8, as listed in Alexandria via LeMat-Bulk.

Cell and atoms, written as POSCAR:
```
Tl4FeI8
1.0
7.809 0.000 4.123
3.904 8.058 2.062
0.142 0.000 9.187
I Tl Fe
8 4 1
Direct
0.000 0.773 0.227
0.500 0.726 0.274
0.227 0.773 0.773
0.774 0.726 0.726
0.000 0.227 0.773
0.226 0.274 0.274
0.773 0.227 0.227
0.500 0.274 0.726
0.000 0.000 0.500
0.000 0.500 0.000
0.500 0.500 0.000
0.500 0.000 0.500
0.000 0.000 0.000
```

Computed properties:
Its crystal system is tetragonal. The calculation puts the density of states at the Fermi level at 19.51 states/eV/f.u. As for the uncorrected formation energy: -0.3045 eV/atom. Its spin magnetization is 3.3 μB/cell.

***

First-principles (PBE) data for a relaxed structure of Tl4FeI7, as listed in Alexandria via LeMat-Bulk.

Cell and atoms, written as POSCAR:
```
Tl4FeI7
1.0
-2.902 1.017 -4.629
-12.088 -3.077 3.565
-5.823 6.704 1.787
I Tl Fe
7 4 1
Direct
0.878 0.878 0.366
0.647 0.464 0.242
0.500 0.000 0.000
0.122 0.122 0.634
0.353 0.536 0.758
0.888 0.214 0.010
0.112 0.786 0.990
0.750 0.683 0.818
0.482 0.715 0.322
0.250 0.317 0.182
0.518 0.285 0.678
0.000 0.000 0.000
```

Computed properties:
Its crystal system is monoclinic. The calculation puts the density of states at the Fermi level at 4.50 states/eV/f.u. As for the uncorrected formation energy: -0.4237 eV/atom. Its spin magnetization is 4.7 μB/cell.

***

First-principles (PBE) data for a relaxed structure of Tl3FeI6, as listed in Alexandria via LeMat-Bulk.

Cell and atoms, written as POSCAR:
```
Tl3FeI6
1.0
8.309 0.000 0.000
0.000 10.544 -2.515
0.000 0.172 10.839
I Tl Fe
12 6 2
Direct
0.681 0.586 0.110
0.669 0.626 0.707
0.158 0.051 0.949
0.169 0.374 0.293
0.253 0.796 0.204
0.681 0.890 0.414
0.669 0.293 0.374
0.181 0.414 0.890
0.169 0.707 0.626
0.658 0.949 0.051
0.181 0.110 0.586
0.753 0.204 0.796
0.975 0.715 0.897
0.866 0.581 0.419
0.475 0.897 0.715
0.475 0.285 0.103
0.975 0.103 0.285
0.366 0.419 0.581
0.058 0.195 0.805
0.558 0.805 0.195
```

Computed properties:
Its crystal system is orthorhombic. Its excess energy over the best structure of this formula in the dataset is 0.0 kJ/mol of atoms. As for the uncorrected formation energy: -0.4586 eV/atom. Its spin magnetization is 9.8 μB/cell.

***

First-principles (PBE) data for a relaxed structure of TlFeI5, as listed in Alexandria via LeMat-Bulk.

Cell and atoms, written as POSCAR:
```
TlFeI5
1.0
10.838 0.000 0.000
0.000 12.067 0.000
0.000 0.000 11.194
Tl I Fe
4 20 4
Direct
0.750 0.285 0.842
0.250 0.785 0.658
0.250 0.715 0.158
0.750 0.215 0.342
0.938 0.718 0.671
0.250 0.042 0.532
0.250 0.614 0.425
0.438 0.282 0.329
0.750 0.542 0.968
0.750 0.979 0.827
0.062 0.282 0.329
0.250 0.021 0.173
0.750 0.521 0.327
0.250 0.458 0.032
0.750 0.958 0.468
0.250 0.886 0.925
0.250 0.479 0.673
0.750 0.386 0.575
0.750 0.114 0.075
0.562 0.718 0.671
0.062 0.218 0.829
0.938 0.782 0.171
0.562 0.782 0.171
0.438 0.218 0.829
0.750 0.840 0.654
0.750 0.660 0.154
0.250 0.160 0.346
0.250 0.340 0.846
```

Computed properties:
Its crystal system is orthorhombic. The calculation puts the density of states at the Fermi level at 0.19 states/eV/f.u. As for the uncorrected formation energy: -0.2158 eV/atom. Its spin magnetization is 16.1 μB/cell.